Record 1
This record from Alexandria via LeMat-Bulk describes a relaxed GaP2OsO crystal. The functional is PBE.

Unit cell a=4.7880 b=4.7880 c=3.4132 alpha=90.00 beta=90.00 gamma=90.00
Space group P4/mmm (No. 123)
Symmetry-distinct sites (fractional):
Ga 0.0000 0.0000 0.0000
P 0.0000 0.5000 0.0000
Os 0.5000 0.5000 0.5000
O 0.0000 0.0000 0.5000

Output
- offset from the most stable computed form (eV/atom) = 0.775
- formation energy from raw total energies (meV/atom) = 918
- uncorrected energy (eV/atom) = -5.09

***

Record 2
This record from Alexandria via LeMat-Bulk describes a relaxed FeSN3 crystal. The functional is PBE.

Unit cell a=3.6559 b=3.6559 c=3.6559 alpha=90.00 beta=90.00 gamma=90.00
Space group Pm-3m (No. 221)
Symmetry-distinct sites (fractional):
Fe 0.0000 0.0000 0.0000
S 0.5000 0.5000 0.5000
N 0.0000 0.0000 0.5000

Output
- formation energy from raw total energies (meV/atom) = 1697
- uncorrected energy (eV/atom) = -5.82

***

Record 3
This record from Alexandria via LeMat-Bulk describes a relaxed TbCo2H7 crystal. The functional is PBE.

Unit cell a=4.9535 b=8.1774 c=3.4507 alpha=90.00 beta=90.00 gamma=90.00
Space group Cmmm (No. 65)
Symmetry-distinct sites (fractional):
Tb 0.0000 0.0000 0.0000
Co 0.0000 0.3073 0.5000
H 0.0000 0.3098 0.0000
H 0.0000 0.5000 0.5000
H 0.1859 0.1427 0.5000

Output
- uncorrected energy (eV/atom) = -4.46

***

Record 4
This record from Alexandria via LeMat-Bulk describes a relaxed YZrIn2Pd crystal. The functional is PBE.

Unit cell a=5.0725 b=5.0725 c=5.1978 alpha=90.00 beta=90.00 gamma=90.00
Space group P4/mmm (No. 123)
Symmetry-distinct sites (fractional):
Y 0.0000 0.0000 0.0000
Zr 0.5000 0.5000 0.0000
In 0.0000 0.5000 0.5000
Pd 0.5000 0.5000 0.5000

Output
- formation energy (eV per atom) = 0.011
- uncorrected energy (eV/atom) = -5.13